Compound: Be2NiSeF
Source: the Alexandria database
Functional: GGA+U
Structure: optimized geometry

Fermi-level density of states (states/eV/atom): 0.363
Energy (eV/atom): -2.8446
Space group: No. 123

Unit cell a=3.506 b=5.014 c=3.506 alpha=90.00 beta=90.00 gamma=90.00
Fractional positions:
Ni 0.000 0.500 0.000
Be 0.000 0.000 0.500
Be 0.500 0.000 0.000
Se 0.500 0.500 0.500
F 0.000 0.000 0.000